Record 1
# Ce2AlCo3As4

An optimized crystal structure of Ce2AlCo3As4 (PBE, the Alexandria database).

Computed properties:
The symmetry is P-4m2, No. 115. For the formation energy, the calculation gives -0.71 eV/atom.

a = 4.180 Å, b = 4.180 Å, c = 9.601 Å
α = 90.00°, β = 90.00°, γ = 90.00°
Fractional positions:
Ce 0.000 0.500 0.240
Ce 0.500 0.000 0.760
Al 0.000 0.000 0.500
Co 0.000 0.500 0.888
Co 0.500 0.000 0.112
Co 0.500 0.500 0.500
As 0.000 0.000 0.000
As 0.000 0.500 0.645
As 0.500 0.000 0.355
As 0.500 0.500 0.000

=====

Record 2
# CeAlAsO2

An optimized crystal structure of CeAlAsO2 (PBE, the Alexandria database).

Computed properties:
The symmetry is Cmcm, No. 63. The value obtained for the uncorrected formation energy is -2.232 eV per atom.

a = 6.464 Å, b = 6.464 Å, c = 5.266 Å
α = 90.00°, β = 90.00°, γ = 129.85°
Fractional positions:
Ce 0.128 0.872 0.750
Ce 0.872 0.128 0.250
Al 0.484 0.516 0.250
Al 0.516 0.484 0.750
As 0.260 0.740 0.250
As 0.740 0.260 0.750
O 0.267 0.267 0.000
O 0.267 0.267 0.500
O 0.733 0.733 0.000
O 0.733 0.733 0.500

=====

Repeat the second record exactly.
# CeAlAsO2

An optimized crystal structure of CeAlAsO2 (PBE, the Alexandria database).

Computed properties:
The symmetry is Cmcm, No. 63. The value obtained for the uncorrected formation energy is -2.232 eV per atom.

a = 6.464 Å, b = 6.464 Å, c = 5.266 Å
α = 90.00°, β = 90.00°, γ = 129.85°
Fractional positions:
Ce 0.128 0.872 0.750
Ce 0.872 0.128 0.250
Al 0.484 0.516 0.250
Al 0.516 0.484 0.750
As 0.260 0.740 0.250
As 0.740 0.260 0.750
O 0.267 0.267 0.000
O 0.267 0.267 0.500
O 0.733 0.733 0.000
O 0.733 0.733 0.500

=====

Question: Which formula does entry 1 have?
Answer: Ce2AlCo3As4